The following is a DFT calculation (meta-GGA SCAN) of K2MgCo at its PBEsol-relaxed geometry.

Cell lengths 7.6756, 7.6756, 7.6756 Å; angles 90.00, 90.00, 90.00 degrees
Closest atoms and distances in Å follow each position.
Space group F-43m (No. 216)
One atom of each set of equivalent atoms:
K (0.0000, 0.0000, 0.0000) (multiplicity 4)  4 K 3.32, 4 Co 3.32
K (0.2500, 0.2500, 0.2500) (multiplicity 4)  4 K 3.32, 4 Mg 3.32
Mg (0.0000, 0.0000, 0.5000) (multiplicity 4)  4 K 3.32, 4 Co 3.32
Co (0.2500, 0.2500, 0.7500) (multiplicity 4)  4 K 3.32, 4 Mg 3.32

Density of states at the Fermi level, states/eV per atom: 1.25
Spin magnetization, μB per cell: 6.46
Final energy, eV per atom: -8.936